The following is a GGA-PBE calculation of a geometry-optimized Tm2MgB2Ir5 structure, from the Alexandria database.

abc: 3.107 9.697 9.697
angles: 90.00 90.00 90.00
Atoms (fractional coordinates):
Tm 0.000 0.678 0.178
Tm 0.000 0.322 0.822
Tm 0.000 0.178 0.322
Tm 0.000 0.822 0.678
Mg 0.000 0.000 0.000
Mg 0.000 0.500 0.500
B 0.000 0.122 0.622
B 0.000 0.878 0.378
B 0.000 0.622 0.878
B 0.000 0.378 0.122
Ir 0.500 0.223 0.068
Ir 0.500 0.777 0.932
Ir 0.500 0.068 0.777
Ir 0.500 0.723 0.432
Ir 0.500 0.932 0.223
Ir 0.500 0.277 0.568
Ir 0.500 0.568 0.723
Ir 0.500 0.432 0.277
Ir 0.500 0.500 0.000
Ir 0.500 0.000 0.500

Properties
- Energy relative to the elements: -0.746 eV per atom
- VASP energy: -151.3 eV per cell
- Crystal system: tetragonal

***

The following is a GGA-PBE calculation of a geometry-optimized MgSb2Pb structure, from the Alexandria database.

abc: 3.266 3.266 10.355
angles: 90.00 90.00 90.00
Atoms (fractional coordinates):
Mg 0.000 0.000 0.492
Pb 0.500 0.500 0.728
Sb 0.000 0.000 0.989
Sb 0.500 0.500 0.290

Properties
- Polymorph energy (0 for the lowest one): 0.131 eV/atom
- VASP energy: -13.3 eV per cell
- Crystal system: tetragonal
- ΔE_f (raw): 0.0719 eV per atom

***

The following is a GGA-PBE calculation of a geometry-optimized ZrNbTc2 structure, from the Alexandria database.

abc: 7.199 7.199 5.817
angles: 51.77 51.77 90.00
Atoms (fractional coordinates):
Nb 0.000 0.000 0.000
Nb 0.750 0.250 0.500
Tc 0.640 0.125 0.250
Tc 0.110 0.625 0.250
Tc 0.375 0.360 0.750
Tc 0.875 0.890 0.750
Zr 0.500 0.500 0.000
Zr 0.250 0.750 0.500

Properties
- Polymorph energy (0 for the lowest one): 0.763 eV/atom
- Energy relative to the elements: 0.392 eV per atom
- VASP energy: -75.6 eV per cell
- Crystal system: tetragonal

***

The following is a GGA-PBE calculation of a geometry-optimized La2SnRuN structure, from the Alexandria database.

abc: 5.297 5.297 3.998
angles: 90.00 90.00 90.00
Atoms (fractional coordinates):
Ru 0.000 0.000 0.500
N 0.000 0.000 0.000
Sn 0.500 0.500 0.500
La 0.000 0.500 0.000
La 0.500 0.000 0.000

Properties
- VASP energy: -34.9 eV per cell
- Crystal system: tetragonal
- ΔE_f (raw): -0.6921 eV per atom

***

The following is a GGA-PBE calculation of a geometry-optimized DyTmGaPd structure, from the Alexandria database.

abc: 4.987 4.987 4.987
angles: 60.00 60.00 60.00
Atoms (fractional coordinates):
Tm 0.500 0.500 0.500
Ga 0.250 0.250 0.250
Pd 0.750 0.750 0.750
Dy 0.000 0.000 0.000

Properties
- Polymorph energy (0 for the lowest one): 0.033 eV/atom
- Energy relative to the elements: -0.722 eV per atom
- VASP energy: -20.2 eV per cell
- Crystal system: cubic

***

The following is a GGA-PBE calculation of a geometry-optimized SmDy2Mg structure, from the Alexandria database.

abc: 3.458 3.458 12.467
angles: 82.03 82.03 60.00
Atoms (fractional coordinates):
Mg 0.000 0.000 0.000
Sm 0.500 0.500 0.500
Dy 0.089 0.089 0.734
Dy 0.911 0.911 0.266

Properties
- Polymorph energy (0 for the lowest one): 0.238 eV/atom
- Energy relative to the elements: 0.207 eV per atom
- VASP energy: -14.7 eV per cell
- Crystal system: trigonal

***

The following is a GGA-PBE calculation of a geometry-optimized KCaTa2 structure, from the Alexandria database.

abc: 6.540 6.540 2.888
angles: 90.00 90.00 128.05
Atoms (fractional coordinates):
Ca 0.500 0.000 0.500
K 0.000 0.500 0.500
Ta 0.000 0.000 0.000
Ta 0.500 0.500 0.000

Properties
- Polymorph energy (0 for the lowest one): 0.667 eV/atom
- Energy relative to the elements: 1.276 eV per atom
- VASP energy: -21.7 eV per cell
- Crystal system: orthorhombic

***

The following is a GGA-PBE calculation of a geometry-optimized La2Dy6Mg structure, from the Alexandria database.

abc: 5.500 10.036 10.365
angles: 89.99 89.99 90.00
Atoms (fractional coordinates):
La 0.000 0.308 0.762
La 0.500 0.808 0.738
La 0.500 0.192 0.262
La 0.000 0.692 0.238
Dy 0.000 0.017 0.175
Dy 0.000 0.675 0.562
Dy 0.000 0.641 0.889
Dy 0.500 0.141 0.611
Dy 0.500 0.175 0.938
Dy 0.500 0.517 0.325
Dy 0.000 0.983 0.825
Dy 0.000 0.325 0.438
Dy 0.000 0.359 0.111
Dy 0.500 0.859 0.389
Dy 0.500 0.825 0.062
Dy 0.500 0.483 0.675
Mg 0.500 0.500 0.000
Mg 0.000 0.000 0.500

Properties
- Polymorph energy (0 for the lowest one): 0.000 eV/atom
- Energy relative to the elements: 0.072 eV per atom
- VASP energy: -76.8 eV per cell
- Crystal system: orthorhombic

***

The following is a GGA-PBE calculation of a geometry-optimized CaCdSe2 structure, from the Alexandria database.

abc: 4.380 5.908 16.850
angles: 90.00 90.00 90.00
Atoms (fractional coordinates):
Ca 0.750 0.250 0.569
Ca 0.250 0.750 0.431
Ca 0.750 0.750 0.931
Ca 0.250 0.250 0.069
Cd 0.750 0.752 0.165
Cd 0.750 0.252 0.335
Cd 0.250 0.248 0.835
Cd 0.250 0.748 0.665
Se 0.750 0.750 0.561
Se 0.250 0.250 0.439
Se 0.750 0.250 0.939
Se 0.250 0.750 0.061
Se 0.250 0.250 0.678
Se 0.750 0.250 0.178
Se 0.250 0.750 0.822
Se 0.750 0.750 0.322

Properties
- VASP energy: -59.2 eV per cell
- Crystal system: orthorhombic
- ΔE_f (raw): -1.2313 eV per atom

***

The following is a GGA-PBE calculation of a geometry-optimized Mg3BiN structure, from the Alexandria database.

abc: 3.987 3.987 7.993
angles: 90.00 90.00 90.00
Atoms (fractional coordinates):
Mg 0.000 0.000 0.758
Mg 0.500 0.000 0.442
Mg 0.000 0.500 0.442
Bi 0.000 0.000 0.125
N 0.500 0.500 0.496

Properties
- VASP energy: -16.3 eV per cell
- Crystal system: tetragonal
- ΔE_f (raw): 0.1431 eV per atom

***

The following is a GGA-PBE calculation of a geometry-optimized Sr3HoHg4 structure, from the Alexandria database.

abc: 3.883 3.883 15.991
angles: 90.00 90.00 90.00
Atoms (fractional coordinates):
Sr 0.500 0.500 0.240
Sr 0.500 0.500 0.500
Sr 0.500 0.500 0.760
Ho 0.500 0.500 0.000
Hg 0.000 0.000 0.894
Hg 0.000 0.000 0.106
Hg 0.000 0.000 0.370
Hg 0.000 0.000 0.630

Properties
- Energy relative to the elements: -0.510 eV per atom
- VASP energy: -14.9 eV per cell
- Crystal system: tetragonal

***

The following is a GGA-PBE calculation of a geometry-optimized CoPdW structure, from the Alexandria database.

abc: 2.744 2.744 5.898
angles: 103.46 103.46 90.00
Site moments in Bohr magnetons follow the coordinates.
Atoms (fractional coordinates):
Co 0.673 0.673 0.347  0.71
W 0.322 0.322 0.645  -0.02
Pd 0.004 0.004 0.008  0.07

Properties
- Polymorph energy (0 for the lowest one): 0.000 eV/atom
- Energy relative to the elements: 0.071 eV per atom
- VASP energy: -25.0 eV per cell
- Crystal system: tetragonal

***

The following is a GGA-PBE calculation of a geometry-optimized CaLaZn2 structure, from the Alexandria database.

abc: 5.262 5.262 5.262
angles: 60.00 60.00 60.00
Atoms (fractional coordinates):
Zn 0.250 0.250 0.250
Zn 0.750 0.750 0.750
Ca 0.000 0.000 0.000
La 0.500 0.500 0.500

Properties
- Polymorph energy (0 for the lowest one): 0.000 eV/atom
- Energy relative to the elements: -0.310 eV per atom
- VASP energy: -10.7 eV per cell
- Crystal system: cubic

***

The following is a GGA-PBE calculation of a geometry-optimized Y3HoN structure, from the Alexandria database.

abc: 4.976 4.976 4.976
angles: 90.00 90.00 90.00
Atoms (fractional coordinates):
Y 0.000 0.500 0.000
Y 0.000 0.000 0.500
Y 0.500 0.000 0.000
Ho 0.500 0.500 0.500
N 0.000 0.000 0.000

Properties
- VASP energy: -34.8 eV per cell
- Crystal system: cubic
- ΔE_f (raw): -0.5085 eV per atom

***

The following is a GGA-PBE calculation of a geometry-optimized BH2Pd6 structure, from the Alexandria database.

abc: 3.001 5.088 8.155
angles: 113.37 90.00 107.15
Atoms (fractional coordinates):
B 0.000 0.000 0.500
H 0.839 0.677 0.806
H 0.161 0.323 0.194
Pd 0.334 0.668 0.926
Pd 0.666 0.332 0.074
Pd 0.994 0.988 0.242
Pd 0.668 0.336 0.583
Pd 0.006 0.012 0.758
Pd 0.332 0.664 0.417

Properties
- Polymorph energy (0 for the lowest one): 0.000 eV/atom
- VASP energy: -46.0 eV per cell
- Crystal system: monoclinic

***

The following is a GGA-PBE calculation of a geometry-optimized Sc2NbTe structure, from the Alexandria database.

abc: 9.569 9.569 9.569
angles: 20.97 20.97 20.97
Atoms (fractional coordinates):
Sc 0.907 0.907 0.907
Sc 0.093 0.093 0.093
Nb 0.000 0.000 0.000
Te 0.500 0.500 0.500

Properties
- VASP energy: -25.0 eV per cell
- Crystal system: trigonal
- ΔE_f (raw): 0.2245 eV per atom

***

The following is a GGA-PBE calculation of a geometry-optimized LaSm2Y4Ho2 structure, from the Alexandria database.

abc: 3.630 9.568 9.630
angles: 115.11 90.00 100.93
Atoms (fractional coordinates):
La 0.000 0.000 0.000
Sm 0.852 0.704 0.333
Sm 0.148 0.296 0.667
Y 0.814 0.628 0.665
Y 0.186 0.372 0.335
Y 0.519 0.039 0.335
Y 0.481 0.961 0.665
Ho 0.331 0.663 0.998
Ho 0.669 0.337 0.002

Properties
- Energy relative to the elements: 0.005 eV per atom
- VASP energy: -49.3 eV per cell
- Crystal system: monoclinic

***

The following is a GGA-PBE calculation of a geometry-optimized TaGaCu2H structure, from the Alexandria database.

abc: 3.855 3.855 4.023
angles: 90.00 90.00 90.00
Atoms (fractional coordinates):
H 0.000 0.000 0.000
Cu 0.000 0.500 0.000
Cu 0.500 0.000 0.000
Ga 0.500 0.500 0.500
Ta 0.000 0.000 0.500

Properties
- VASP energy: -26.6 eV per cell
- Crystal system: tetragonal

***

The following is a GGA-PBE calculation of a geometry-optimized KBaF2 structure, from the Alexandria database.

abc: 7.773 7.773 7.773
angles: 32.73 32.73 32.73
Atoms (fractional coordinates):
K 0.000 0.000 0.000
Ba 0.500 0.500 0.500
F 0.876 0.876 0.876
F 0.124 0.124 0.124

Properties
- Polymorph energy (0 for the lowest one): 0.000 eV/atom
- VASP energy: -17.9 eV per cell
- Crystal system: trigonal
- ΔE_f (raw): -2.7902 eV per atom

***

The following is a GGA-PBE calculation of a geometry-optimized Cs2ScCl7 structure, from the Alexandria database.

abc: 7.481 7.481 7.968
angles: 62.00 62.00 90.00
Site moments in Bohr magnetons follow the coordinates.
Atoms (fractional coordinates):
Cs 0.750 0.250 0.500  0.00
Cs 0.250 0.750 0.500  0.00
Sc 0.000 0.000 0.000  0.10
Cl 0.500 0.500 0.000  0.85
Cl 0.206 0.206 0.587  0.02
Cl 0.794 0.794 0.413  0.02
Cl 0.238 0.238 0.000  0.16
Cl 0.762 0.762 0.000  0.16
Cl 0.762 0.238 0.000  0.17
Cl 0.238 0.762 0.000  0.17

Properties
- VASP energy: -36.2 eV per cell
- Crystal system: tetragonal
- ΔE_f (raw): -1.5208 eV per atom